Entry 1:
DFT (GGA-PBE) results for a geometry-optimized As3Os structure.

Cell lengths 7.5539, 7.5539, 3.5949 Å; angles 90.00, 90.00, 122.26 degrees
With the nearest neighbours (Å) after each atom.
Sites, in units of the cell vectors:
1 As 0.9145 0.0855 0.2500  6 As 2.71-2.89
2 As 0.0855 0.9145 0.7500  6 As 2.71-2.89
3 As 0.9296 0.5977 0.2500  1 Os 2.39
4 As 0.0704 0.4023 0.7500  1 Os 2.39
5 As 0.4023 0.0704 0.2500  1 Os 2.39
6 As 0.5977 0.9296 0.7500  1 Os 2.39
7 Os 0.4418 0.5582 0.7500  2 Os 2.37, 2 As 2.39
8 Os 0.5582 0.4418 0.2500  2 Os 2.37, 2 As 2.39

Results
The total magnetization is 0.00 μB per atom. The energy of formation comes out at 1.72 eV/f.u. For the calculated density, the calculation gives 7.95 Mg/m³.

=====

Entry 2:
DFT (GGA-PBE) results for a geometry-optimized As5Os structure.

Cell lengths 7.4072, 7.4072, 4.1349 Å; angles 90.00, 90.00, 147.87 degrees
With the nearest neighbours (Å) after each atom.
Sites, in units of the cell vectors:
1 As 0.8421 0.1579 0.5000  6 As 2.76-2.91, 2 Os 2.78
2 As 0.6027 0.3973 0.0000  2 Os 2.76, 6 As 2.78-2.91
3 As 0.4722 0.5278 0.5000  8 As 2.76-2.78, 4 Os 2.91
4 As 0.3417 0.6583 0.0000  2 Os 2.77, 6 As 2.78-2.91
5 As 0.1023 0.8977 0.5000  6 As 2.76-2.91, 2 Os 2.77
6 Os 0.9724 0.0276 0.0000  12 As 2.76-2.91

Results
The total magnetization is 0.00 μB per atom. The energy of formation comes out at 2.88 eV/f.u. For the calculated density, the calculation gives 7.77 Mg/m³.

=====

Offset from the most stable computed form, respectively: 329.6, 373.7 meV per atom.
E, respectively: -5.87, -5.27 eV/atom.